No. 1
Computed, not measured: a geometry-optimized Nd2GdNi2C2N3 structure at the PBE level of DFT.

Computed properties:
* crystal system: tetragonal
* uncorrected energy: -7.63 eV/atom

Unit cell a=10.218 b=10.218 c=10.218 alpha=159.90 beta=159.90 gamma=28.58
Element x y z (fractional)
C 0.191 0.191 0.000
C 0.809 0.809 0.000
Gd 0.000 0.000 0.000
N 0.121 0.121 0.000
N 0.500 0.500 0.000
N 0.879 0.879 0.000
Nd 0.373 0.373 0.000
Nd 0.627 0.627 0.000
Ni 0.750 0.250 0.500
Ni 0.250 0.750 0.500

No. 2
Computed, not measured: a geometry-optimized HoCuTe2PbS structure at the PBE level of DFT.

Computed properties:
* crystal system: orthorhombic
* uncorrected energy: -4.57 eV/atom

Unit cell a=7.608 b=7.608 c=10.337 alpha=90.00 beta=90.00 gamma=148.38
Element x y z (fractional)
Cu 0.020 0.980 0.250
Cu 0.980 0.020 0.750
Ho 0.500 0.500 0.000
Ho 0.500 0.500 0.500
Pb 0.771 0.229 0.250
Pb 0.229 0.771 0.750
S 0.436 0.564 0.250
S 0.564 0.436 0.750
Te 0.148 0.852 0.063
Te 0.148 0.852 0.437
Te 0.852 0.148 0.563
Te 0.852 0.148 0.937